Material: CeNdHo2
Method: DFT, GGA-PBE
State: optimized geometry

The calculation puts the density of states at the Fermi level at 1.90 states/eV per atom. The value obtained for the total DFT energy (no corrections) is -4.90 eV/atom.

a b c (Å): 3.5580 3.5580 9.9789
angles (deg): 90.00 90.00 90.00
Space group P4/mmm (No. 123)
Unique sites:
Ce: 0.0000 0.0000 0.0000
Nd: 0.0000 0.0000 0.5000
Ho: 0.5000 0.5000 0.2401

Material: CeNd2Ho
Method: DFT, GGA-PBE
State: optimized geometry

The calculation puts the density of states at the Fermi level at 2.53 states/eV per atom. The value obtained for the total DFT energy (no corrections) is -4.81 eV/atom.

a b c (Å): 8.1382 8.1382 8.1382
angles (deg): 90.00 90.00 90.00
Space group Fm-3m (No. 225)
Unique sites:
Ce: 0.0000 0.0000 0.0000
Nd: 0.2500 0.2500 0.2500
Ho: 0.0000 0.0000 0.5000

Material: CeNd8Ho6
Method: DFT, GGA-PBE
State: optimized geometry

The calculation puts the density of states at the Fermi level at 1.71 states/eV per atom. The value obtained for the total DFT energy (no corrections) is -4.64 eV/atom.

a b c (Å): 9.1171 9.1171 20.9340
angles (deg): 90.00 90.00 120.00
Space group R-3 (No. 148, hexagonal axes)
Unique sites:
Ce: 0.0000 0.0000 0.0000
Nd: 0.0000 0.0000 0.4219
Nd: 0.0808 0.5624 0.8039
Ho: 0.0462 0.2440 0.7064

Material: CeNd2Ho3
Method: DFT, GGA-PBE
State: optimized geometry

The calculation puts the density of states at the Fermi level at 1.73 states/eV per atom. The value obtained for the total DFT energy (no corrections) is -4.71 eV/atom.

a b c (Å): 6.9315 16.2178 3.4880
angles (deg): 90.00 90.00 90.00
Space group Pnnm (No. 58)
Unique sites:
Ce: 0.0000 0.0000 0.0000
Nd: 0.2485 0.3424 0.0000
Ho: 0.0000 0.5000 0.5000
Ho: 0.2455 0.1511 0.5000

Material: CeNd6Ho4
Method: DFT, GGA-PBE
State: optimized geometry

The calculation puts the density of states at the Fermi level at 2.06 states/eV per atom. The value obtained for the total DFT energy (no corrections) is -4.67 eV/atom.

a b c (Å): 5.8757 9.6765 25.9946
angles (deg): 90.00 90.00 90.00
Space group Cmcm (No. 63)
Unique sites:
Ce: 0.0000 0.2135 0.2500
Nd: 0.0000 0.1185 0.6805
Nd: 0.0000 0.2022 0.0998
Nd: 0.0000 0.4478 0.7500
Nd: 0.0000 0.5000 0.0000
Ho: 0.0000 0.1502 0.5432
Ho: 0.0000 0.4533 0.6239

Material: CeNd2Ho2
Method: DFT, GGA-PBE
State: optimized geometry

The calculation puts the density of states at the Fermi level at 2.55 states/eV per atom. The value obtained for the total DFT energy (no corrections) is -4.36 eV/atom.

a b c (Å): 6.1121 6.1121 9.4675
angles (deg): 90.00 90.00 90.00
Space group I4/mmm (No. 139)
Unique sites:
Ce: 0.0000 0.0000 0.0000
Nd: 0.0000 0.5000 0.2500
Ho: 0.0000 0.0000 0.3456

Material: Ce2NdHo9
Method: DFT, GGA-PBE
State: optimized geometry

The calculation puts the density of states at the Fermi level at 2.02 states/eV per atom. The value obtained for the total DFT energy (no corrections) is -4.72 eV/atom.

a b c (Å): 11.2354 11.2354 3.4600
angles (deg): 90.00 90.00 120.00
Space group P6/mmm (No. 191)
Unique sites:
Ce: 0.3333 0.6667 0.0000
Nd: 0.0000 0.0000 0.0000
Ho: 0.0000 0.5000 0.0000
Ho: 0.1754 0.3508 0.5000

Material: CeNd4Ho8
Method: DFT, GGA-PBE
State: optimized geometry

The calculation puts the density of states at the Fermi level at 1.74 states/eV per atom. The value obtained for the total DFT energy (no corrections) is -4.21 eV/atom.

a b c (Å): 11.0345 11.0345 13.4637
angles (deg): 90.00 90.00 120.00
Space group R-3m (No. 166, hexagonal axes)
Unique sites:
Ce: 0.0000 0.0000 0.0000
Nd: 0.0000 0.0000 0.5000
Nd: 0.0000 0.5000 0.5000
Ho: 0.0000 0.0000 0.2585
Ho: 0.0110 0.5055 0.2464

no.,volume (Å³ per atom),DFT formation energy (eV per atom)
1,31.6,0.06
2,33.7,0.20
3,33.5,0.13
4,32.7,0.16
5,33.6,0.14
6,35.4,0.56
7,31.5,0.10
8,36.4,0.53